This record from the Open Quantum Materials Database describes crystalline Pr2NdSe3 at its relaxed geometry. The functional is PBE.

Structure (CIF):
```
data_Pr2NdSe3
_chemical_formula_sum 'Pr2 Nd1 Se3'
_cell_length_a 4.246
_cell_length_b 4.246
_cell_length_c 10.435
_cell_angle_alpha 90.00
_cell_angle_beta 90.00
_cell_angle_gamma 120.00
_space_group_name_H-M_alt 'P 1'
_space_group_IT_number 1
loop_
_space_group_symop_operation_xyz
'x,y,z'
loop_
_atom_site_label
_atom_site_type_symbol
_atom_site_fract_x
_atom_site_fract_y
_atom_site_fract_z
Se1 Se 0.667 0.333 0.336
Se2 Se 0.000 0.000 0.000
Se3 Se 0.333 0.667 0.664
Nd1 Nd 0.000 0.000 0.500
Pr1 Pr 0.667 0.333 0.833
Pr2 Pr 0.333 0.667 0.167
```

***

This record from the Open Quantum Materials Database describes crystalline PrNd3Si4 at its relaxed geometry. The functional is PBE.

Structure (CIF):
```
data_PrNd3Si4
_chemical_formula_sum 'Pr1 Nd3 Si4'
_cell_length_a 5.937
_cell_length_b 3.951
_cell_length_c 8.271
_cell_angle_alpha 90.00
_cell_angle_beta 90.09
_cell_angle_gamma 90.00
_space_group_name_H-M_alt 'P 1'
_space_group_IT_number 1
loop_
_space_group_symop_operation_xyz
'x,y,z'
loop_
_atom_site_label
_atom_site_type_symbol
_atom_site_fract_x
_atom_site_fract_y
_atom_site_fract_z
Si1 Si 0.379 0.500 0.534
Si2 Si 0.121 0.500 0.036
Si3 Si 0.622 0.000 0.464
Si4 Si 0.878 0.000 0.965
Nd1 Nd 0.114 0.000 0.320
Nd2 Nd 0.614 0.500 0.180
Nd3 Nd 0.886 0.500 0.679
Pr1 Pr 0.386 0.000 0.821
```

***

# PrNdSi (PBE, optimized geometry)
# - Energy relative to the lowest polymorph listed for this composition: 0.000 eV per atom
data_PrNdSi
_chemical_formula_sum 'Pr1 Nd1 Si1'
_cell_length_a 5.045
_cell_length_b 5.045
_cell_length_c 5.045
_cell_angle_alpha 60.00
_cell_angle_beta 60.00
_cell_angle_gamma 60.00
_space_group_name_H-M_alt 'P 1'
_space_group_IT_number 1
loop_
_space_group_symop_operation_xyz
'x,y,z'
loop_
_atom_site_label
_atom_site_type_symbol
_atom_site_fract_x
_atom_site_fract_y
_atom_site_fract_z
Pr1 Pr 0.750 0.750 0.750
Nd1 Nd 0.250 0.250 0.250
Si1 Si 0.000 0.000 0.000

***

This record from the Open Quantum Materials Database describes crystalline Pr2Nd2Si3 at its relaxed geometry. The functional is PBE.

Structure (CIF):
```
data_Pr2Nd2Si3
_chemical_formula_sum 'Pr4 Nd4 Si6'
_cell_length_a 11.137
_cell_length_b 11.137
_cell_length_c 7.094
_cell_angle_alpha 90.00
_cell_angle_beta 90.00
_cell_angle_gamma 155.43
_space_group_name_H-M_alt 'P 1'
_space_group_IT_number 1
loop_
_space_group_symop_operation_xyz
'x,y,z'
loop_
_atom_site_label
_atom_site_type_symbol
_atom_site_fract_x
_atom_site_fract_y
_atom_site_fract_z
Nd1 Nd 0.455 0.545 0.750
Nd2 Nd 0.381 0.619 0.250
Nd3 Nd 0.619 0.381 0.750
Nd4 Nd 0.545 0.455 0.250
Si1 Si 0.050 0.950 0.924
Si2 Si 0.313 0.687 0.750
Si3 Si 0.687 0.313 0.250
Si4 Si 0.050 0.950 0.576
Si5 Si 0.950 0.050 0.076
Si6 Si 0.950 0.050 0.424
Pr1 Pr 0.813 0.187 0.512
Pr2 Pr 0.187 0.813 0.012
Pr3 Pr 0.813 0.187 0.988
Pr4 Pr 0.187 0.813 0.488
```

***

This record from the Open Quantum Materials Database describes crystalline PrNdSi3 at its relaxed geometry. The functional is PBE.

Structure (CIF):
```
data_PrNdSi3
_chemical_formula_sum 'Pr1 Nd1 Si3'
_cell_length_a 7.477
_cell_length_b 7.477
_cell_length_c 7.477
_cell_angle_alpha 147.49
_cell_angle_beta 147.49
_cell_angle_gamma 46.64
_space_group_name_H-M_alt 'P 1'
_space_group_IT_number 1
loop_
_space_group_symop_operation_xyz
'x,y,z'
loop_
_atom_site_label
_atom_site_type_symbol
_atom_site_fract_x
_atom_site_fract_y
_atom_site_fract_z
Si1 Si 0.131 0.631 0.500
Si2 Si 0.751 0.751 0.000
Si3 Si 0.631 0.131 0.500
Nd1 Nd 0.978 0.978 0.000
Pr1 Pr 0.288 0.288 0.000
```

***

This record from the Open Quantum Materials Database describes crystalline Pr3NdSi4 at its relaxed geometry. The functional is PBE.

Structure (CIF):
```
data_Pr3NdSi4
_chemical_formula_sum 'Pr3 Nd1 Si4'
_cell_length_a 5.964
_cell_length_b 3.963
_cell_length_c 8.305
_cell_angle_alpha 90.00
_cell_angle_beta 90.09
_cell_angle_gamma 90.00
_space_group_name_H-M_alt 'P 1'
_space_group_IT_number 1
loop_
_space_group_symop_operation_xyz
'x,y,z'
loop_
_atom_site_label
_atom_site_type_symbol
_atom_site_fract_x
_atom_site_fract_y
_atom_site_fract_z
Pr1 Pr 0.614 0.500 0.821
Pr2 Pr 0.114 0.000 0.679
Pr3 Pr 0.886 0.500 0.320
Nd1 Nd 0.386 0.000 0.180
Si1 Si 0.620 0.000 0.534
Si2 Si 0.122 0.500 0.966
Si3 Si 0.379 0.500 0.464
Si4 Si 0.880 0.000 0.036
```

***

Total DFT energy (no corrections), record by record: -5.973; -5.856; -5.420; -5.554; -5.473; -5.848 eV/atom